Entry 1:
CoMoP | SCAN | single point on PBEsol structure

a b c (Å): 3.844 3.844 3.844
angles (deg): 60.00 60.00 60.00
Positions (direct):
Mo (0.500, 0.500, 0.500)
Co (0.000, 0.000, 0.000)
P (0.250, 0.250, 0.250)

Summary:
SG: F-43m, No. 216
Size of the total moment: 1.1 μB per formula unit
E_form: -0.122 eV per atom

Entry 2:
CoMoP2 | SCAN | single point on PBEsol structure

a b c (Å): 3.118 3.118 5.048
angles (deg): 90.00 90.00 90.00
Positions (direct):
P (0.000, 0.000, 0.988)
Co (0.000, 0.000, 0.427)
P (0.500, 0.500, 0.293)
Mo (0.500, 0.500, 0.792)

Summary:
SG: P4mm, No. 99
Size of the total moment: 0.0 μB per formula unit
E_form: -0.294 eV per atom

Entry 3:
CoMo2P | SCAN | single point on PBEsol structure

a b c (Å): 3.262 3.885 4.076
angles (deg): 90.00 90.00 90.00
Positions (direct):
P (0.500, 0.500, 0.000)
Co (0.000, 0.500, 0.500)
Mo (0.500, 0.000, 0.500)
Mo (0.000, 0.000, 0.000)

Summary:
SG: Pmmm, No. 47
Size of the total moment: 0.0 μB per formula unit
E_form: 0.137 eV per atom

Entry 4:
CoMoP2S | SCAN | single point on PBEsol structure

a b c (Å): 4.511 4.650 4.650
angles (deg): 90.00 90.00 90.00
Positions (direct):
Mo (0.000, 0.000, 0.000)
P (0.000, 0.500, 0.000)
S (0.500, 0.000, 0.000)
P (0.000, 0.000, 0.500)
Co (0.500, 0.500, 0.500)

Summary:
SG: P4/mmm, No. 123
Offset from the most stable computed form: 0.10 eV/f.u.
Energy relative to the elements, uncorrected: 0.79 eV/atom
Size of the total moment: 2.5 μB per formula unit

Entry 5:
CoMoP2S | SCAN | single point on PBEsol structure

a b c (Å): 4.180 4.180 4.403
angles (deg): 90.00 90.00 90.00
Positions (direct):
Co (0.000, 0.000, 0.000)
Mo (0.500, 0.500, 0.500)
P (0.500, 0.000, 0.000)
P (0.000, 0.500, 0.000)
S (0.000, 0.000, 0.500)

Summary:
SG: P4/mmm, No. 123
Offset from the most stable computed form: 0.00 eV/f.u.
Energy relative to the elements, uncorrected: 0.77 eV/atom
Size of the total moment: 1.6 μB per formula unit

Entry 6:
Co2MoPb | SCAN | single point on PBEsol structure

a b c (Å): 3.165 4.301 4.930
angles (deg): 102.86 90.00 111.59
Positions (direct):
Co (0.732, 0.464, 0.680)
Pb (0.500, 0.000, 0.000)
Mo (0.000, 0.000, 0.500)
Co (0.268, 0.536, 0.320)

Summary:
SG: C2/m, No. 12
Size of the total moment: 0.8 μB per formula unit
E_form: 0.649 eV per atom